(1)
## La9Pt2Rh4 (PBE)

Data for an optimized crystal structure of La9Pt2Rh4.

Values from the calculation:
The value obtained for the total magnetic moment is 0.0 μB per cell. The symmetry is P-3c1, No. 165. The calculation puts the formation energy at -747 meV per atom.

a b c (Å): 7.2432 7.2432 20.1290
angles (deg): 90.00 90.00 120.00
Element x y z (fractional)
1 La 0.0000 0.3417 0.2500
2 La 0.0000 0.6583 0.7500
3 La 0.0010 0.3379 0.5822
4 La 0.0010 0.6631 0.0822
5 La 0.3369 0.3379 0.0822
6 La 0.3369 0.9990 0.5822
7 La 0.3379 0.0010 0.9178
8 La 0.3379 0.3369 0.4178
9 La 0.3417 0.0000 0.2500
10 La 0.3417 0.3417 0.7500
11 La 0.6583 0.0000 0.7500
12 La 0.6583 0.6583 0.2500
13 La 0.6621 0.6631 0.5822
14 La 0.6621 0.9990 0.0822
15 La 0.6631 0.0010 0.4178
16 La 0.6631 0.6621 0.9178
17 La 0.9990 0.3369 0.9178
18 La 0.9990 0.6621 0.4178
19 Pt 0.0000 0.0000 0.1675
20 Pt 0.0000 0.0000 0.3325
21 Pt 0.0000 0.0000 0.6675
22 Pt 0.0000 0.0000 0.8325
23 Rh 0.3333 0.6667 0.0012
24 Rh 0.3333 0.6667 0.1655
25 Rh 0.3333 0.6667 0.5012
26 Rh 0.3333 0.6667 0.6655
27 Rh 0.6667 0.3333 0.3345
28 Rh 0.6667 0.3333 0.4988
29 Rh 0.6667 0.3333 0.8345
30 Rh 0.6667 0.3333 0.9988

(2)
## NdAlNi (PBE)

Data for an optimized crystal structure of NdAlNi.

Values from the calculation:
The value obtained for the total magnetic moment is 0.0 μB per cell. The symmetry is P-6m2, No. 187. The calculation puts the formation energy at -408 meV per atom.

a b c (Å): 4.2908 4.2908 3.9545
angles (deg): 90.00 90.00 120.00
Element x y z (fractional)
1 Nd 0.0000 0.0000 0.0000
2 Al 0.6667 0.3333 0.5000
3 Ni 0.3333 0.6667 0.5000

(3)
## TbGa4 (PBE)

Data for an optimized crystal structure of TbGa4.

Values from the calculation:
The value obtained for the total magnetic moment is 0.0 μB per cell. The symmetry is P4/mbm, No. 127. The calculation puts the formation energy at -41 meV per atom.

a b c (Å): 9.4735 9.4735 5.2284
angles (deg): 90.00 90.00 90.00
Element x y z (fractional)
1 Tb 0.1377 0.3623 0.0000
2 Tb 0.3623 0.8623 0.0000
3 Tb 0.6377 0.1377 0.0000
4 Tb 0.8623 0.6377 0.0000
5 Ga 0.0000 0.0000 0.2252
6 Ga 0.0000 0.0000 0.7748
7 Ga 0.0990 0.5990 0.5000
8 Ga 0.1079 0.2011 0.5000
9 Ga 0.2011 0.8921 0.5000
10 Ga 0.2989 0.3921 0.5000
11 Ga 0.3921 0.7011 0.5000
12 Ga 0.4010 0.0990 0.5000
13 Ga 0.5000 0.5000 0.2252
14 Ga 0.5000 0.5000 0.7748
15 Ga 0.5990 0.9010 0.5000
16 Ga 0.6079 0.2989 0.5000
17 Ga 0.7011 0.6079 0.5000
18 Ga 0.7989 0.1079 0.5000
19 Ga 0.8921 0.7989 0.5000
20 Ga 0.9010 0.4010 0.5000

(4)
## DyLu2Pa (PBE)

Data for an optimized crystal structure of DyLu2Pa.

Values from the calculation:
The value obtained for the total magnetic moment is 0.0 μB per cell. The symmetry is Fm-3m, No. 225. The calculation puts the formation energy at 288 meV per atom.

a b c (Å): 5.4752 5.4752 5.4752
angles (deg): 60.00 60.00 60.00
Element x y z (fractional)
1 Dy 0.0000 0.0000 0.0000
2 Lu 0.2500 0.2500 0.2500
3 Lu 0.7500 0.7500 0.7500
4 Pa 0.5000 0.5000 0.5000

no.,DFT total energy (eV/atom)
1,-6.470
2,-5.172
3,-3.388
4,-5.497